SmMgMn: relaxed, PBE-GGA.

Unit cell a=3.4801 b=5.5925 c=7.3437 alpha=102.70 beta=103.71 gamma=90.00
Element x y z (fractional)
1 Sm 0.1371 0.3258 0.2742
2 Sm 0.8629 0.6742 0.7258
3 Mg 0.4221 0.1994 0.8443
4 Mn 0.7616 0.1103 0.5231
5 Mg 0.5779 0.8006 0.1557
6 Mn 0.2384 0.8897 0.4769

Calculated values
ΔH_f (0 K) (meV per atom): 98
Crystal system: monoclinic
Symmetry: No. 12
Raw total energy (eV per atom): -5.063